A plane-wave DFT calculation with PBE was carried out for an optimized crystal structure of KHg2H4.

a b c (Å): 6.691 6.691 6.020
angles (deg): 90.00 90.00 90.00
Space group I4/mmm (No. 139)
Asymmetric unit:
1 K 0.000 0.000 0.000 [2 per cell]
2 Hg 0.000 0.500 0.250 [4 per cell]
3 H 0.000 0.307 0.500 [8 per cell]

E_tot   -1.853 eV per atom